A geometry-optimized V3O5F3 structure, computed with PBE with a Hubbard U.

Unit cell a=7.316 b=7.316 c=5.018 alpha=90.80 beta=90.80 gamma=102.69
Sites, in units of the cell vectors:
1 V 0.086 0.914 0.500
2 V 0.091 0.426 0.553
3 V 0.411 0.599 0.072
4 V 0.426 0.091 0.053
5 V 0.599 0.411 0.572
6 V 0.914 0.086 0.000
7 O 0.056 0.193 0.690
8 O 0.078 0.688 0.425
9 O 0.193 0.056 0.190
10 O 0.213 0.549 0.874
11 O 0.324 0.469 0.379
12 O 0.434 0.827 0.160
13 O 0.469 0.324 0.879
14 O 0.549 0.213 0.374
15 O 0.688 0.078 0.925
16 O 0.827 0.434 0.660
17 F 0.321 0.971 0.706
18 F 0.574 0.654 0.763
19 F 0.654 0.574 0.263
20 F 0.855 0.948 0.336
21 F 0.948 0.855 0.836
22 F 0.971 0.321 0.206

## Properties
Space-group type   No. 9
Excess energy over the best structure of this formula in the dataset   0.0 kJ/mol of formula units